This record from Alexandria via LeMat-Bulk describes a relaxed MoIr2 crystal. The functional is PBE.

Calculated values
uncorrected energy: -117.26 eV/cell
energy relative to the elements: -0.254 eV/atom
calculated volume: 14.87 A^3/atom

Lattice parameters (Å, degrees): 3.907 11.714 3.899 90.00 90.00 90.00
Space group Cmcm (No. 63)
One atom of each set of equivalent atoms:
1 Mo 0.000 0.087 0.250 x4
2 Ir 0.000 0.251 0.750 x4
3 Ir 0.000 0.419 0.250 x4

---

This record from Alexandria via LeMat-Bulk describes a relaxed Ba2CaTe crystal. The functional is PBE.

Calculated values
uncorrected energy: -22.67 eV/cell
energy relative to the elements, uncorrected: -587 meV per atom
calculated volume: 47.83 A^3/atom

Lattice parameters (Å, degrees): 4.575 6.319 13.236 90.00 90.00 90.00
Space group Immm (No. 71)
One atom of each set of equivalent atoms:
1 Ba 0.000 0.000 0.197 x4
2 Ca 0.000 0.500 0.000 x2
3 Te 0.000 0.500 0.500 x2

---

This record from Alexandria via LeMat-Bulk describes a relaxed MgSbIr2 crystal. The functional is PBE.

Calculated values
uncorrected energy: -90.82 eV/cell
energy relative to the elements, uncorrected: 183 meV per atom
calculated volume: 17.17 A^3/atom

Lattice parameters (Å, degrees): 6.501 6.501 6.501 90.00 90.00 90.00
Space group F-43m (No. 216)
One atom of each set of equivalent atoms:
1 Mg 0.000 0.000 0.000 x4
2 Sb 0.250 0.250 0.750 x4
3 Ir 0.000 0.000 0.500 x4
4 Ir 0.250 0.250 0.250 x4

---

This record from Alexandria via LeMat-Bulk describes a relaxed TbEr2Bi4 crystal. The functional is PBE.

Calculated values
uncorrected energy: -133.20 eV/cell
energy relative to the elements: -0.574 eV/atom
calculated volume: 30.75 A^3/atom

Lattice parameters (Å, degrees): 4.485 11.304 16.984 90.00 90.00 90.00
Space group Cmcm (No. 63)
One atom of each set of equivalent atoms:
1 Tb 0.000 0.057 0.250 x4
2 Er 0.000 0.340 0.074 x8
3 Bi 0.000 0.000 0.000 x4
4 Bi 0.000 0.349 0.250 x4
5 Bi 0.000 0.350 0.621 x8

---

This record from Alexandria via LeMat-Bulk describes a relaxed Hg2Pd2Au7 crystal. The functional is PBE.

Calculated values
uncorrected energy: -64.61 eV/cell
energy relative to the elements: 0.148 eV/atom
calculated volume: 22.83 A^3/atom

Lattice parameters (Å, degrees): 7.393 10.117 6.788 90.00 98.27 90.00
Space group C2/m (No. 12)
One atom of each set of equivalent atoms:
1 Hg 0.247 0.000 0.221 x4
2 Pd 0.000 0.366 0.000 x4
3 Au 0.000 0.000 0.500 x2
4 Au 0.126 0.500 0.364 x4
5 Au 0.129 0.145 0.852 x8

---

This record from Alexandria via LeMat-Bulk describes a relaxed Th6GeIr2Se3 crystal. The functional is PBE.

Calculated values
uncorrected energy: -184.88 eV/cell
energy relative to the elements, uncorrected: -1261 meV per atom
calculated volume: 27.32 A^3/atom

Lattice parameters (Å, degrees): 18.670 4.150 8.730 90.00 104.26 90.00
Space group C2/m (No. 12)
One atom of each set of equivalent atoms:
1 Th 0.009 0.000 0.249 x4
2 Th 0.167 0.500 0.104 x4
3 Th 0.173 0.500 0.563 x4
4 Ge 0.000 0.500 0.000 x2
5 Ir 0.168 0.000 0.332 x4
6 Se 0.000 0.500 0.500 x2
7 Se 0.160 0.000 0.833 x4

---

This record from Alexandria via LeMat-Bulk describes a relaxed KCa crystal. The functional is PBE.

Calculated values
uncorrected energy: -17.28 eV/cell
energy relative to the elements: 0.109 eV/atom
calculated volume: 53.20 A^3/atom

Lattice parameters (Å, degrees): 4.1332 4.1332 43.1486 90.00 90.00 120.00
Space group R-3m (No. 166, hexagonal axes)
One atom of each set of equivalent atoms:
1 K 0.0000 0.0000 0.1190 x6
2 Ca 0.0000 0.0000 0.3688 x6

---

This record from Alexandria via LeMat-Bulk describes a relaxed DyTlCuAg crystal. The functional is PBE.

Calculated values
uncorrected energy: -58.50 eV/cell
energy relative to the elements: -0.177 eV/atom
calculated volume: 20.55 A^3/atom

Lattice parameters (Å, degrees): 6.902 6.902 6.902 90.00 90.00 90.00
Space group F-43m (No. 216)
One atom of each set of equivalent atoms:
1 Dy 0.000 0.000 0.000 x4
2 Tl 0.000 0.000 0.500 x4
3 Cu 0.250 0.250 0.750 x4
4 Ag 0.250 0.250 0.250 x4

---

This record from Alexandria via LeMat-Bulk describes a relaxed ScZnI2O crystal. The functional is PBE.

Calculated values
uncorrected energy: -21.10 eV/cell
energy relative to the elements, uncorrected: -1087 meV per atom
calculated volume: 27.54 A^3/atom

Lattice parameters (Å, degrees): 5.945 5.945 3.896 90.00 90.00 90.00
Space group P4/mmm (No. 123)
One atom of each set of equivalent atoms:
1 Sc 0.000 0.000 0.000 x1
2 Zn 0.500 0.500 0.500 x1
3 I 0.000 0.500 0.000 x2
4 O 0.000 0.000 0.500 x1

---

This record from Alexandria via LeMat-Bulk describes a relaxed HgGePd2 crystal. The functional is PBE.

Calculated values
uncorrected energy: -16.38 eV/cell
energy relative to the elements: -0.269 eV/atom
calculated volume: 16.99 A^3/atom

Lattice parameters (Å, degrees): 3.134 3.134 6.918 90.00 90.00 90.00
Space group P4/mmm (No. 123)
One atom of each set of equivalent atoms:
1 Hg 0.000 0.000 0.000 x1
2 Ge 0.000 0.000 0.500 x1
3 Pd 0.500 0.500 0.286 x2

---

This record from Alexandria via LeMat-Bulk describes a relaxed SrLiAlSn2 crystal. The functional is PBE.

Calculated values
uncorrected energy: -34.71 eV/cell
energy relative to the elements: -0.402 eV/atom
calculated volume: 25.85 A^3/atom

Lattice parameters (Å, degrees): 4.634 4.634 12.036 90.00 90.00 90.00
Space group I-4m2 (No. 119)
One atom of each set of equivalent atoms:
1 Sr 0.000 0.000 0.000 x2
2 Li 0.000 0.500 0.750 x2
3 Al 0.000 0.500 0.250 x2
4 Sn 0.000 0.000 0.379 x4

---

This record from Alexandria via LeMat-Bulk describes a relaxed NdTlZnPd crystal. The functional is PBE.

Calculated values
uncorrected energy: -61.20 eV/cell
energy relative to the elements: -0.425 eV/atom
calculated volume: 21.52 A^3/atom

Lattice parameters (Å, degrees): 7.008 7.008 7.008 90.00 90.00 90.00
Space group F-43m (No. 216)
One atom of each set of equivalent atoms:
1 Nd 0.000 0.000 0.000 x4
2 Tl 0.000 0.000 0.500 x4
3 Zn 0.250 0.250 0.750 x4
4 Pd 0.250 0.250 0.250 x4